Material: BaNb3Ga
Method: DFT, PBE
State: optimized geometry

a = 5.0292 Å, b = 5.0292 Å, c = 5.0292 Å
α = 90.00°, β = 90.00°, γ = 90.00°
Each line ends with the local moment (μB).
Fractional positions:
Ga  0.0000  0.0000  0.0000  0.03
Ba  0.5000  0.5000  0.5000  0.08
Nb  0.0000  0.5000  0.0000  0.39
Nb  0.5000  0.0000  0.0000  0.50
Nb  0.0000  0.0000  0.5000  0.38

## Properties
Its energy above the lowest structure with this stoichiometry is 0.0 meV/atom. As for the total energy: -29.4 eV for the cell shown. Its total magnetization is 1.84 Bohr magnetons per cell.